(1)
This record from Alexandria via LeMat-Bulk describes a geometry-optimized Cs2CaBiAs structure. The functional is PBE-GGA.

a b c (Å): 7.6116 7.6116 5.7342
angles (deg): 90.00 90.00 90.00
Last column: nearest neighbours and their distance in Å.
Space group P4/mmm (No. 123)
Inequivalent atoms, fractional coordinates:
Cs 0.0000 0.5000 0.0000  2 Ca 3.81
Ca 0.0000 0.0000 0.0000  2 Bi 2.87
Bi 0.0000 0.0000 0.5000  2 Ca 2.87
As 0.5000 0.5000 0.5000  8 Cs 4.76

Results
The calculation puts the final energy at -2.1065 eV/atom. As for the crystal system: tetragonal.

(2)
This record from Alexandria via LeMat-Bulk describes a geometry-optimized NaTb2RhO5 structure. The functional is PBE-GGA.

a b c (Å): 6.5787 6.5787 5.7619
angles (deg): 90.00 90.00 90.00
Last column: nearest neighbours and their distance in Å.
Space group P4/mbm (No. 127)
Inequivalent atoms, fractional coordinates:
Na 0.0000 0.0000 0.0000  10 O 2.88-2.94
Tb 0.1763 0.3237 0.5000  4 O 2.23-2.42
Rh 0.0000 0.5000 0.0000  4 O 1.95
O 0.0000 0.0000 0.5000  4 Tb 2.42
O 0.1379 0.6379 0.2554  1 Rh 1.95

Results
The calculation puts the uncorrected formation energy at -2.288 eV per atom. As for the crystal system: tetragonal.

(3)
This record from Alexandria via LeMat-Bulk describes a geometry-optimized Zr2NpMnS6 structure. The functional is PBE-GGA.

a b c (Å): 6.5538 6.5538 17.9033
angles (deg): 90.00 90.00 120.00
Last column: nearest neighbours and their distance in Å.
Space group R3 (No. 146, hexagonal axes)
Inequivalent atoms, fractional coordinates:
Zr 0.0000 0.0000 0.0000  6 S 2.58-2.61
Zr 0.0000 0.0000 0.4957  6 S 2.59-2.61
Np 0.0000 0.0000 0.1868  6 S 2.72-2.78
Mn 0.0000 0.0000 0.6839  6 S 2.56-2.60
S 0.0043 0.6793 0.0858  1 Mn 2.56, 2 Zr 2.59-2.61, 1 Np 2.78
S 0.0192 0.3770 0.2567  2 Zr 2.58-2.61, 1 Mn 2.60, 1 Np 2.72

Results
The calculation puts the uncorrected formation energy at -1.215 eV per atom. As for the crystal system: trigonal.

(4)
This record from Alexandria via LeMat-Bulk describes a geometry-optimized Zr2InW structure. The functional is PBE-GGA.

a b c (Å): 6.8557 6.8557 6.8557
angles (deg): 90.00 90.00 90.00
Last column: nearest neighbours and their distance in Å.
Space group F-43m (No. 216)
Inequivalent atoms, fractional coordinates:
Zr 0.0000 0.0000 0.0000  4 Zr 2.97, 4 In 2.97
Zr 0.2500 0.2500 0.2500  4 Zr 2.97, 4 W 2.97
In 0.2500 0.2500 0.7500  4 Zr 2.97, 4 W 2.97
W 0.0000 0.0000 0.5000  4 Zr 2.97, 4 In 2.97

Results
The calculation puts the final energy at -7.9939 eV/atom. As for the crystal system: cubic.

(5)
This record from Alexandria via LeMat-Bulk describes a geometry-optimized LiAc4Au3 structure. The functional is PBE-GGA.

a b c (Å): 4.2178 4.9755 11.8974
angles (deg): 90.00 90.00 90.00
Last column: nearest neighbours and their distance in Å.
Space group Pmm2 (No. 25)
Inequivalent atoms, fractional coordinates:
Li 0.0000 0.0000 0.0000  2 Au 2.98, 2 Ac 3.28
Ac 0.0000 0.0000 0.3002  6 Au 3.32-3.36, 1 Li 3.57
Ac 0.0000 0.5000 0.5691  7 Au 3.31-3.49
Ac 0.5000 0.0000 0.7890  5 Au 3.20-3.38, 2 Li 3.28
Ac 0.5000 0.5000 0.0727  3 Au 3.28-3.30, 4 Li 3.37
Au 0.0000 0.5000 0.8620  2 Li 2.98, 2 Ac 3.28
Au 0.5000 0.0000 0.5197  2 Au 3.20, 7 Ac 3.20-3.36
Au 0.5000 0.5000 0.3503  2 Au 3.20, 7 Ac 3.30-3.35

Results
The calculation puts the final energy at -4.1150 eV/atom. As for the crystal system: orthorhombic.

(6)
This record from Alexandria via LeMat-Bulk describes a geometry-optimized YGaTe2N structure. The functional is PBE-GGA.

a b c (Å): 6.2015 6.2015 4.0556
angles (deg): 90.00 90.00 90.00
Last column: nearest neighbours and their distance in Å.
Space group P4/mmm (No. 123)
Inequivalent atoms, fractional coordinates:
Y 0.0000 0.0000 0.0000  2 N 2.03
Ga 0.5000 0.5000 0.5000  8 Te 3.70, 2 Ga 4.06
Te 0.0000 0.5000 0.0000  2 Y 3.10
N 0.0000 0.0000 0.5000  2 Y 2.03

Results
The calculation puts the uncorrected formation energy at 0.183 eV per atom. As for the crystal system: tetragonal. For the energy relative to the lowest polymorph listed for this composition, the calculation gives 0.184 eV/atom.

(7)
This record from Alexandria via LeMat-Bulk describes a geometry-optimized HoAl8Ni4 structure. The functional is PBE-GGA.

a b c (Å): 8.5800 8.5800 5.1068
angles (deg): 90.00 90.00 90.00
Last column: nearest neighbours and their distance in Å.
Space group I4/mmm (No. 139)
Inequivalent atoms, fractional coordinates:
Ho 0.0000 0.0000 0.0000  12 Al 2.95-3.19, 8 Ni 3.29
Al 0.0000 0.2220 0.5000  4 Ni 2.51, 6 Al 2.69-2.76
Al 0.0000 0.3437 0.0000  4 Ni 2.62, 5 Al 2.68-2.76
Ni 0.2500 0.2500 0.2500  8 Al 2.51-2.62, 2 Ni 2.55

Results
The calculation puts the final energy at -5.0293 eV/atom. As for the crystal system: tetragonal.

(8)
This record from Alexandria via LeMat-Bulk describes a geometry-optimized NdSmAl2Ge structure. The functional is PBE-GGA.

a b c (Å): 4.3779 4.4855 12.5915
angles (deg): 90.00 90.00 90.00
Last column: nearest neighbours and their distance in Å.
Space group Imm2 (No. 44)
Inequivalent atoms, fractional coordinates:
Nd 0.0000 0.0000 0.0000  4 Ge 3.36, 6 Al 3.38-3.67
Sm 0.0000 0.5000 0.7554  2 Ge 2.88, 6 Al 2.97-3.15
Al 0.0000 0.0000 0.6010  1 Ge 2.48, 2 Al 2.73
Al 0.0000 0.5000 0.2303  2 Al 2.73
Ge 0.0000 0.0000 0.4042  1 Al 2.48

Results
The calculation puts the final energy at -4.7718 eV/atom. As for the crystal system: orthorhombic.